# B4OsPb | OQMD via LeMat-Bulk | PBE | optimized geometry
data_B4OsPb
_cell_length_a 3.035
_cell_length_b 3.035
_cell_length_c 8.775
_cell_angle_alpha 90.00
_cell_angle_beta 90.00
_cell_angle_gamma 120.00
_space_group_name_H-M_alt 'P 1'
_space_group_IT_number 1
loop_
_space_group_symop_operation_xyz
'x,y,z'
loop_
_atom_site_label
_atom_site_type_symbol
_atom_site_fract_x
_atom_site_fract_y
_atom_site_fract_z
Pb1 Pb 0.000 0.000 0.500
B1 B 0.333 0.667 0.188
B2 B 0.667 0.333 0.812
Os1 Os 0.000 0.000 0.000
B3 B 0.333 0.667 0.812
B4 B 0.667 0.333 0.188
# * theoretical density: 10.45 g/cm3
# * relative energy among the computed polymorphs: 0.0000 eV per atom